[1]
## Ge3Sb5Se12 (PBE)

Data for a geometry-optimized Ge3Sb5Se12 structure.

```
80
Lattice="-8.371 8.371 8.371 8.371 -8.371 8.371 8.371 8.371 -8.371" Properties=species:S:1:pos:R:3 pbc="T T T"
Ge 4.185 2.093 0.000
Ge 8.371 4.185 -2.093
Ge 2.093 0.000 4.185
Ge 10.463 0.000 4.185
Ge 0.000 4.185 2.093
Ge 4.185 -2.093 8.371
Ge 4.185 10.463 0.000
Ge 8.371 4.185 6.278
Ge -2.093 8.371 4.185
Ge 6.278 8.371 4.185
Ge 0.000 4.185 10.463
Ge 4.185 6.278 8.371
Sb 0.000 0.000 0.000
Sb 4.185 4.185 -4.185
Sb 4.185 -4.185 4.185
Sb 8.371 0.000 0.000
Sb 12.556 2.093 0.000
Sb 8.371 -4.185 6.278
Sb 6.278 8.371 -4.185
Sb 6.278 0.000 4.185
Sb 4.185 6.278 0.000
Sb 8.371 4.185 2.093
Sb -4.185 4.185 4.185
Sb 0.000 8.371 0.000
Sb 0.000 0.000 8.371
Sb 4.185 4.185 4.185
Sb 0.000 4.185 6.278
Sb 4.185 2.093 8.371
Sb 2.093 8.371 4.185
Sb 2.093 0.000 12.556
Sb 0.000 12.556 2.093
Sb -4.185 6.278 8.371
Se 2.565 -0.301 1.157
Se 9.991 5.342 -4.487
Se 8.069 -1.157 2.565
Se 12.857 -1.620 3.028
Se 10.936 0.301 1.157
Se 9.991 -3.028 4.487
Se 1.157 2.565 -0.301
Se 11.399 3.884 -1.620
Se 5.342 4.487 -1.620
Se 7.214 2.565 0.301
Se -0.301 1.157 2.565
Se 4.487 -1.620 5.342
Se 8.069 7.214 -2.565
Se 4.487 1.620 3.028
Se 7.214 -2.565 8.069
Se 5.342 -4.487 9.991
Se 3.028 4.487 1.620
Se 9.528 5.805 0.301
Se 2.565 8.069 -1.157
Se 9.991 3.028 3.884
Se 4.487 9.991 -3.028
Se 8.069 1.157 5.805
Se 1.620 3.028 4.487
Se 2.565 0.301 7.214
Se 5.805 8.069 1.157
Se 6.751 5.342 3.884
Se 0.301 7.214 2.565
Se 3.884 -1.620 11.399
Se -1.620 5.342 4.487
Se 5.805 0.301 9.528
Se -1.157 2.565 8.069
Se 5.342 3.884 6.751
Se 3.028 12.857 -1.620
Se 1.157 10.936 0.301
Se 3.884 6.751 5.342
Se 0.301 1.157 10.936
Se 3.884 9.991 3.028
Se 8.672 7.214 5.805
Se 1.157 5.805 8.069
Se 3.028 3.884 9.991
Se -3.028 4.487 9.991
Se 7.214 5.805 8.672
Se -1.620 11.399 3.884
Se -2.565 8.069 7.214
Se -4.487 9.991 5.342
Se 0.301 9.528 5.805
Se -1.620 3.028 12.857
Se 5.805 8.672 7.214
```

Calculated values
- final energy (eV/cell) = -306.5
- total moment (μB/f.u.) = 0.0

[2]
## ErMnAs2Rh5 (PBE)

Data for a geometry-optimized ErMnAs2Rh5 structure.

```
9
Lattice="3.930 0.000 0.000 0.000 3.930 0.000 0.000 0.000 10.839" Properties=species:S:1:pos:R:3 pbc="T T T"
Er 0.000 0.000 0.000
Mn 1.965 1.965 5.420
As 1.965 1.965 2.378
As 1.965 1.965 8.461
Rh 0.000 1.965 3.883
Rh 0.000 1.965 6.956
Rh 1.965 0.000 3.883
Rh 1.965 0.000 6.956
Rh 1.965 1.965 0.000
```

Calculated values
- formation energy (eV per formula unit) = -1.56
- total moment (μB/f.u.) = 2.5

[3]
## Ti2TeAs2 (PBE)

Data for a geometry-optimized Ti2TeAs2 structure.

```
5
Lattice="-2.385 2.385 4.445 2.385 -2.385 4.445 2.385 2.385 -4.445" Properties=species:S:1:pos:R:3 pbc="T T T"
Ti 2.385 0.000 2.222
Ti 0.000 2.385 2.222
Te 0.000 0.000 0.000
As 0.000 0.000 3.199
As 0.000 0.000 5.691
```

Calculated values
- final energy (eV/cell) = -30.8
- total moment (μB/f.u.) = 0.9

[4]
## NaCaNb (PBE)

Data for a geometry-optimized NaCaNb structure.

```
6
Lattice="1.982 -8.451 0.000 1.982 8.451 0.000 0.000 0.000 5.231" Properties=species:S:1:pos:R:3 pbc="T T T"
Na 0.000 0.000 0.000
Na 1.982 0.000 2.611
Ca 1.982 5.610 2.625
Ca 1.982 -5.610 2.625
Nb 1.982 3.408 0.010
Nb 1.982 -3.408 0.010
```

Calculated values
- formation energy (eV per formula unit) = 1.56
- total moment (μB/f.u.) = 0.0

[5]
## Cs4RbSn3I12 (PBE)

Data for a geometry-optimized Cs4RbSn3I12 structure.

```
20
Lattice="-6.360 6.360 6.360 6.360 -6.360 6.360 6.360 6.360 -6.360" Properties=species:S:1:pos:R:3 pbc="T T T"
Cs 3.180 3.180 -3.180
Cs 3.180 -3.180 3.180
Cs -3.180 3.180 3.180
Cs 3.180 3.180 3.180
Rb 0.000 0.000 0.000
Sn 6.360 0.000 0.000
Sn 0.000 6.360 0.000
Sn 0.000 0.000 6.360
I 3.357 0.000 0.000
I 9.364 0.000 0.000
I 6.360 3.180 0.000
I 6.360 0.000 3.180
I 0.000 3.357 0.000
I 0.000 0.000 3.357
I 3.180 6.360 0.000
I 3.180 0.000 6.360
I 0.000 9.364 0.000
I 0.000 0.000 9.364
I 0.000 6.360 3.180
I 0.000 3.180 6.360
```

Calculated values
- final energy (eV/cell) = -54.4
- total moment (μB/f.u.) = 0.0

[6]
## MnSnIrPt (PBE)

Data for a geometry-optimized MnSnIrPt structure.

```
4
Lattice="4.824 -1.553 0.000 4.824 1.553 0.000 -1.228 0.000 4.395" Properties=species:S:1:pos:R:3 pbc="T T T"
Mn 0.000 0.000 0.000
Sn 6.803 0.000 1.587
Ir 1.484 0.000 3.854
Pt 4.167 0.000 2.234
```

Calculated values
- formation energy (eV per formula unit) = -0.61
- total moment (μB/f.u.) = 4.1

[7]
## Sm3Dy6Pu (PBE)

Data for a geometry-optimized Sm3Dy6Pu structure.

```
10
Lattice="4.526 -4.305 0.000 4.526 4.305 0.000 -1.586 0.000 8.688" Properties=species:S:1:pos:R:3 pbc="T T T"
Sm 0.000 0.000 0.000
Sm 0.859 0.000 6.390
Sm 6.606 0.000 2.298
Dy 2.449 2.735 5.581
Dy 5.016 2.735 3.107
Dy 3.233 0.000 1.200
Dy 4.232 0.000 7.488
Dy 2.449 -2.735 5.581
Dy 5.016 -2.735 3.107
Pu 3.733 0.000 4.344
```

Calculated values
- formation energy (eV per formula unit) = 3.05
- total moment (μB/f.u.) = 6.2

[8]
## Bi2Se3 (PBE)

Data for a geometry-optimized Bi2Se3 structure.

```
5
Lattice="5.449 0.000 0.000 0.000 5.449 0.000 0.000 0.000 5.449" Properties=species:S:1:pos:R:3 pbc="T T T"
Bi 0.000 0.000 0.000
Bi 2.725 2.725 2.725
Se 0.000 0.000 2.725
Se 0.000 2.725 0.000
Se 2.725 0.000 0.000
```

Calculated values
- final energy (eV/cell) = -16.3
- total moment (μB/f.u.) = 0.0

[9]
## Pr2Ho7Er (PBE)

Data for a geometry-optimized Pr2Ho7Er structure.

```
10
Lattice="6.162 0.000 0.000 1.018 6.078 0.000 3.080 2.599 8.509" Properties=species:S:1:pos:R:3 pbc="T T T"
Pr 1.540 0.783 2.540
Pr 8.720 7.894 5.969
Ho 3.597 4.589 5.112
Ho 4.622 2.343 7.667
Ho 3.599 3.553 1.694
Ho 4.621 1.299 4.255
Ho 6.660 5.123 6.815
Ho 5.638 6.334 0.842
Ho 6.663 4.088 3.397
Er 0.509 3.039 0.000
```

Calculated values
- formation energy (eV per formula unit) = 0.22
- total moment (μB/f.u.) = 0.0

[10]
## HfTi3Rh4 (PBE)

Data for a geometry-optimized HfTi3Rh4 structure.

```
16
Lattice="9.062 0.000 0.000 0.000 5.951 0.000 0.000 0.000 4.643" Properties=species:S:1:pos:R:3 pbc="T T T"
Hf 0.000 0.000 0.000
Hf 4.531 0.000 0.000
Ti 0.000 2.976 0.000
Ti 2.265 0.000 2.134
Ti 2.265 2.976 2.062
Ti 4.531 2.976 0.000
Ti 6.796 0.000 2.509
Ti 6.796 2.976 2.581
Rh 0.000 1.519 2.322
Rh 0.000 4.432 2.322
Rh 2.265 1.528 4.328
Rh 2.265 4.424 4.328
Rh 4.531 1.519 2.322
Rh 4.531 4.432 2.322
Rh 6.796 1.528 0.315
Rh 6.796 4.424 0.315
```

Calculated values
- formation energy (eV per formula unit) = -6.08
- total moment (μB/f.u.) = 0.0

[11]
## KSr3Rh (PBE)

Data for a geometry-optimized KSr3Rh structure.

```
10
Lattice="3.756 2.168 10.734 -3.756 2.168 10.734 0.000 -4.337 10.734" Properties=species:S:1:pos:R:3 pbc="T T T"
K 0.000 0.000 5.366
K 0.000 0.000 26.835
Sr -2.434 -0.061 12.348
Sr -1.164 -2.139 19.853
Sr 1.270 -2.078 12.348
Sr -1.270 2.078 19.853
Sr 1.164 2.139 12.348
Sr 2.434 0.061 19.853
Rh 0.000 0.000 10.692
Rh 0.000 0.000 21.510
```

Calculated values
- formation energy (eV per formula unit) = -0.41
- total moment (μB/f.u.) = 0.0

[12]
## TbAlSn (PBE)

Data for a geometry-optimized TbAlSn structure.

```
3
Lattice="4.519 0.000 0.000 -2.260 3.914 0.000 0.000 0.000 4.098" Properties=species:S:1:pos:R:3 pbc="T T T"
Tb 0.000 0.000 0.000
Al 0.000 2.609 2.343
Sn 2.260 1.305 1.893
```

Calculated values
- formation energy (eV per formula unit) = -1.35
- total moment (μB/f.u.) = 0.0